Record 1
The following is a DFT calculation (GGA-PBEsol) of an optimized crystal structure of SrLiFe3.

abc: 4.8142 4.8142 4.8142
angles: 90.00 90.00 90.00
With the nearest neighbours (Å) after each atom.
Atoms (fractional coordinates):
Sr (0.0000, 0.0000, 0.0000)  6 Fe 2.41
Li (0.5000, 0.5000, 0.5000)  12 Fe 3.40
Fe (0.0000, 0.0000, 0.5000)  2 Sr 2.41
Fe (0.0000, 0.5000, 0.0000)  2 Sr 2.41
Fe (0.5000, 0.0000, 0.0000)  2 Sr 2.41

Properties
D(E_F) in states/eV/cell: 9.6
Total DFT energy (no corrections) in eV/atom: -3.9278
Energy relative to the elements in eV/atom: 2.2117

***

Record 2
The following is a DFT calculation (GGA-PBEsol) of an optimized crystal structure of SrLiFe2.

abc: 3.1887 3.1887 7.6574
angles: 90.00 90.00 90.00
With the nearest neighbours (Å) after each atom.
Atoms (fractional coordinates):
Sr (0.0000, 0.0000, 0.0000)  5 Fe 3.09-3.16, 4 Sr 3.19
Li (0.5000, 0.5000, 0.3788)  5 Fe 2.54-2.80
Fe (0.0000, 0.0000, 0.5963)  4 Fe 2.42
Fe (0.5000, 0.5000, 0.7105)  4 Fe 2.42, 1 Li 2.54

Properties
D(E_F) in states/eV/cell: 3.8
Total DFT energy (no corrections) in eV/atom: -4.9319
Energy relative to the elements in eV/atom: 0.5016

***

Record 3
The following is a DFT calculation (GGA-PBEsol) of an optimized crystal structure of Sr4LiFe.

abc: 7.1762 7.1762 7.1762
angles: 60.00 60.00 60.00
With the nearest neighbours (Å) after each atom.
Atoms (fractional coordinates):
Sr (0.1243, 0.1243, 0.1243)  6 Sr 3.57-3.61
Sr (0.1243, 0.1243, 0.6272)  6 Sr 3.57-3.61
Sr (0.1243, 0.6272, 0.1243)  6 Sr 3.57-3.61
Sr (0.6272, 0.1243, 0.1243)  6 Sr 3.57-3.61
Li (0.5000, 0.5000, 0.5000)  12 Sr 4.21, 4 Fe 4.39
Fe (0.7500, 0.7500, 0.7500)  12 Sr 4.21, 4 Li 4.39

Properties
D(E_F) in states/eV/cell: 13.8
Total DFT energy (no corrections) in eV/atom: -2.0935
Energy relative to the elements in eV/atom: 0.9551

***

Record 4
The following is a DFT calculation (GGA-PBEsol) of an optimized crystal structure of Sr2LiFe.

abc: 4.6173 6.3387 6.3387
angles: 40.61 90.00 90.00
With the nearest neighbours (Å) after each atom.
Atoms (fractional coordinates):
Sr (0.0000, 0.0000, 0.0000)  2 Li 3.21, 4 Fe 3.34
Sr (0.5000, 0.2850, 0.2850)  3 Fe 3.25-3.55, 4 Li 3.36
Li (0.0000, 0.6970, 0.6970)  2 Fe 2.67
Fe (0.5000, 0.5839, 0.5839)  2 Li 2.67

Properties
D(E_F) in states/eV/cell: 7.8
Total DFT energy (no corrections) in eV/atom: -3.1520
Energy above the most stable polymorph in this dataset in meV/atom: 18.1
Energy relative to the elements in eV/atom: 0.5007

***

Record 5
The following is a DFT calculation (GGA-PBEsol) of an optimized crystal structure of Sr2LiFe.

abc: 3.7129 3.7129 8.7031
angles: 90.00 90.00 90.00
With the nearest neighbours (Å) after each atom.
Atoms (fractional coordinates):
Sr (0.0000, 0.0000, 0.2111)  4 Fe 3.20
Sr (0.0000, 0.0000, 0.7889)  4 Fe 3.20
Li (0.5000, 0.5000, 0.5000)  8 Sr 3.63, 4 Li 3.71
Fe (0.5000, 0.5000, 0.0000)  8 Sr 3.20

Properties
D(E_F) in states/eV/cell: 6.4
Total DFT energy (no corrections) in eV/atom: -3.1701
Energy above the most stable polymorph in this dataset in meV/atom: 0.0
Energy relative to the elements in eV/atom: 0.4826

***

Record 6
The following is a DFT calculation (GGA-PBEsol) of an optimized crystal structure of SrLiTi2Fe.

abc: 4.4398 4.4398 5.2301
angles: 90.00 90.00 90.00
With the nearest neighbours (Å) after each atom.
Atoms (fractional coordinates):
Sr (0.0000, 0.0000, 0.0000)  4 Li 3.14, 8 Ti 3.43
Li (0.5000, 0.5000, 0.0000)  2 Fe 2.62
Ti (0.0000, 0.5000, 0.5000)  2 Fe 2.22
Ti (0.5000, 0.0000, 0.5000)  2 Fe 2.22
Fe (0.5000, 0.5000, 0.5000)  4 Ti 2.22

Properties
D(E_F) in states/eV/cell: 4.6
Total DFT energy (no corrections) in eV/atom: -5.5713
Energy relative to the elements in eV/atom: 0.3117

***

Record 7
The following is a DFT calculation (GGA-PBEsol) of an optimized crystal structure of LiTa2Fe.

abc: 4.9956 4.9956 4.9956
angles: 137.36 137.36 61.88
With the nearest neighbours (Å) after each atom.
Atoms (fractional coordinates):
Li (0.0000, 0.0000, 0.0000)  8 Ta 2.57-2.81, 4 Fe 2.81
Ta (0.5000, 0.5000, 0.0000)  4 Li 2.57, 4 Ta 2.81, 4 Fe 2.81
Ta (0.7500, 0.2500, 0.5000)  4 Fe 2.57, 4 Ta 2.81, 4 Li 2.81
Fe (0.2500, 0.7500, 0.5000)  8 Ta 2.57-2.81, 4 Li 2.81

Properties
D(E_F) in states/eV/cell: 3.5
Total DFT energy (no corrections) in eV/atom: -8.6617
Energy above the most stable polymorph in this dataset in meV/atom: 106.1
Energy relative to the elements in eV/atom: 0.3464

***

Record 8
The following is a DFT calculation (GGA-PBEsol) of an optimized crystal structure of LiTa2Fe.

abc: 2.7086 2.7086 9.0547
angles: 90.00 90.00 108.61
With the nearest neighbours (Å) after each atom.
Atoms (fractional coordinates):
Li (0.0000, 0.0000, 0.0000)  2 Fe 2.62, 4 Li 2.71
Ta (0.0000, 0.0000, 0.5522)  2 Fe 2.52, 4 Ta 2.71
Ta (0.5000, 0.5000, 0.2830)  6 Ta 2.71-2.90, 2 Li 3.01
Fe (0.5000, 0.5000, 0.7696)  2 Ta 2.52, 2 Li 2.62, 4 Fe 2.71

Properties
D(E_F) in states/eV/cell: 3.8
Total DFT energy (no corrections) in eV/atom: -8.7371
Energy above the most stable polymorph in this dataset in meV/atom: 30.7
Energy relative to the elements in eV/atom: 0.2710

***

Record 9
The following is a DFT calculation (GGA-PBEsol) of an optimized crystal structure of LiTa2Fe.

abc: 5.1821 5.1821 5.1821
angles: 146.13 131.12 60.79
With the nearest neighbours (Å) after each atom.
Atoms (fractional coordinates):
Li (0.0000, 0.0000, 0.0000)  2 Fe 2.55, 4 Ta 2.67
Ta (0.2805, 0.7805, 0.5000)  4 Fe 2.62, 2 Ta 2.87, 4 Li 2.91-2.93
Ta (0.5541, 0.5541, 0.0000)  2 Fe 2.45, 4 Li 2.67
Fe (0.7705, 0.2705, 0.5000)  6 Ta 2.45-2.62, 2 Li 2.55

Properties
D(E_F) in states/eV/cell: 3.1
Total DFT energy (no corrections) in eV/atom: -8.7678
Energy above the most stable polymorph in this dataset in meV/atom: 0.0
Energy relative to the elements in eV/atom: 0.2403

***

Record 10
The following is a DFT calculation (GGA-PBEsol) of an optimized crystal structure of LiTaFe.

abc: 2.9147 2.9147 6.3737
angles: 90.00 90.00 120.00
With the nearest neighbours (Å) after each atom.
Atoms (fractional coordinates):
Li (0.0000, 0.0000, 0.0000)  3 Fe 2.70, 6 Li 2.91, 3 Ta 3.02
Ta (0.3333, 0.6667, 0.6065)  3 Fe 2.43
Fe (0.6667, 0.3333, 0.3322)  3 Ta 2.43, 3 Li 2.70

Properties
D(E_F) in states/eV/cell: 2.0
Total DFT energy (no corrections) in eV/atom: -7.3816
Energy relative to the elements in eV/atom: 0.4455

***

Record 11
The following is a DFT calculation (GGA-PBEsol) of an optimized crystal structure of LiFe2Tc.

abc: 4.6894 4.6894 4.3060
angles: 105.96 105.96 31.06
With the nearest neighbours (Å) after each atom.
Atoms (fractional coordinates):
Li (0.0000, 0.0000, 0.0000)  7 Fe 2.49-2.60, 2 Li 2.51, 1 Tc 2.73
Fe (0.4681, 0.4681, 0.4761)  4 Fe 2.29-2.51, 4 Li 2.49-2.53, 2 Tc 2.50
Fe (0.7621, 0.7621, 0.1929)  4 Fe 2.29-2.51, 4 Tc 2.51-2.54, 1 Li 2.52
Tc (0.2167, 0.2167, 0.6691)  7 Fe 2.50-2.63, 2 Tc 2.51, 1 Li 2.73

Properties
D(E_F) in states/eV/cell: 3.5
Total DFT energy (no corrections) in eV/atom: -7.5147
Energy relative to the elements in eV/atom: 0.2753

***

Record 12
The following is a DFT calculation (GGA-PBEsol) of an optimized crystal structure of LiFeTc2.

abc: 2.5579 3.8287 4.9724
angles: 90.00 90.00 90.00
With the nearest neighbours (Å) after each atom.
Atoms (fractional coordinates):
Li (0.0000, 0.0000, 0.0000)  2 Fe 2.49, 2 Li 2.56, 8 Tc 2.61
Fe (0.0000, 0.0000, 0.5000)  2 Li 2.49, 2 Fe 2.56, 8 Tc 2.62
Tc (0.5000, 0.5000, 0.2478)  4 Tc 2.46-2.56, 4 Li 2.61, 4 Fe 2.62
Tc (0.5000, 0.5000, 0.7522)  4 Tc 2.46-2.56, 4 Li 2.61, 4 Fe 2.62

Properties
D(E_F) in states/eV/cell: 4.4
Total DFT energy (no corrections) in eV/atom: -8.0718
Energy above the most stable polymorph in this dataset in meV/atom: 59.1
Energy relative to the elements in eV/atom: 0.2939

***

Record 13
The following is a DFT calculation (GGA-PBEsol) of an optimized crystal structure of LiFeTc2.

abc: 9.0339 9.0339 9.0339
angles: 16.68 16.68 16.68
With the nearest neighbours (Å) after each atom.
Atoms (fractional coordinates):
Li (0.0000, 0.0000, 0.0000)  6 Li 2.62, 6 Tc 2.85
Fe (0.5000, 0.5000, 0.5000)  6 Tc 2.54, 6 Fe 2.62
Tc (0.2430, 0.2430, 0.2430)  3 Fe 2.54, 6 Tc 2.62
Tc (0.7570, 0.7570, 0.7570)  3 Fe 2.54, 6 Tc 2.62

Properties
D(E_F) in states/eV/cell: 3.6
Total DFT energy (no corrections) in eV/atom: -8.1309
Energy above the most stable polymorph in this dataset in meV/atom: 0.0
Energy relative to the elements in eV/atom: 0.2348

***

Record 14
The following is a DFT calculation (GGA-PBEsol) of an optimized crystal structure of LiFeTc3.

abc: 4.0062 4.0062 4.0062
angles: 90.00 90.00 90.00
With the nearest neighbours (Å) after each atom.
Atoms (fractional coordinates):
Li (0.0000, 0.0000, 0.0000)  6 Tc 2.00
Fe (0.5000, 0.5000, 0.5000)  12 Tc 2.83
Tc (0.0000, 0.0000, 0.5000)  2 Li 2.00
Tc (0.0000, 0.5000, 0.0000)  2 Li 2.00
Tc (0.5000, 0.0000, 0.0000)  2 Li 2.00

Properties
D(E_F) in states/eV/cell: 5.8
Total DFT energy (no corrections) in eV/atom: -7.6441
Energy relative to the elements in eV/atom: 1.3018

***

Record 15
The following is a DFT calculation (GGA-PBEsol) of an optimized crystal structure of LiFeTc2.

abc: 4.6183 4.6183 4.6183
angles: 134.38 134.38 66.49
With the nearest neighbours (Å) after each atom.
Atoms (fractional coordinates):
Li (0.0000, 0.0000, 0.0000)  4 Fe 2.53, 8 Tc 2.63
Fe (0.5000, 0.5000, 0.0000)  4 Li 2.53, 8 Tc 2.63
Tc (0.2500, 0.7500, 0.5000)  4 Tc 2.53, 4 Fe 2.63, 4 Li 2.63
Tc (0.7500, 0.2500, 0.5000)  4 Tc 2.53, 4 Fe 2.63, 4 Li 2.63

Properties
D(E_F) in states/eV/cell: 3.2
Total DFT energy (no corrections) in eV/atom: -8.0583
Energy above the most stable polymorph in this dataset in meV/atom: 72.6
Energy relative to the elements in eV/atom: 0.3074